Record 1
4
Lattice="0.0000 3.4644 3.4644 3.4644 0.0000 3.4644 3.4644 3.4644 0.0000" Properties=species:S:1:pos:R:3 comment="SrBeGaAu PBE relaxed" spacegroup="F-43m (216)" mass_density_g_cm3=7.3 energy_ev_per_atom=-2.88 pbc="T T T"
Sr 3.4644 3.4644 3.4644
Au 5.1965 5.1965 5.1965
Be 0.0000 0.0000 0.0000
Ga 1.7322 1.7322 1.7322

---

Record 2
4
Lattice="0.0000 3.3834 3.3834 3.3834 0.0000 3.3834 3.3834 3.3834 0.0000" Properties=species:S:1:pos:R:3 comment="SrBeGaAu PBE relaxed" spacegroup="F-43m (216)" mass_density_g_cm3=7.8 energy_ev_per_atom=-2.92 pbc="T T T"
Ga 0.0000 0.0000 0.0000
Be 3.3834 3.3834 3.3834
Sr 1.6917 1.6917 1.6917
Au 5.0751 5.0751 5.0751

---

Record 3
4
Lattice="0.0000 3.0990 3.0990 3.0990 0.0000 3.0990 3.0990 3.0990 0.0000" Properties=species:S:1:pos:R:3 comment="BeZnGaAu PBE relaxed" spacegroup="F-43m (216)" mass_density_g_cm3=9.5 energy_ev_per_atom=-2.69 pbc="T T T"
Ga 1.5495 1.5495 1.5495
Au 4.6485 4.6485 4.6485
Zn 3.0990 3.0990 3.0990
Be 0.0000 0.0000 0.0000

---

Record 4
4
Lattice="3.6602 -2.2321 -1.5448 2.9719 -1.8132 2.9404 0.2733 -4.5250 0.4645" Properties=species:S:1:pos:R:3 comment="BeGe2Au PBE relaxed" spacegroup="F-43m (216)" mass_density_g_cm3=8.7 energy_ev_per_atom=-3.64 pbc="T T T"
Ge 5.1791 -6.4278 1.3950
Ge 0.0000 0.0000 0.0000
Be 3.4527 -4.2852 0.9300
Au 1.7264 -2.1426 0.4650

---

Record 5
4
Lattice="0.0000 3.2216 3.2216 3.2216 0.0000 3.2216 3.2216 3.2216 0.0000" Properties=species:S:1:pos:R:3 comment="BeGeAu2 PBE relaxed" spacegroup="F-43m (216)" mass_density_g_cm3=11.8 energy_ev_per_atom=-3.40 pbc="T T T"
Ge 3.2216 3.2216 3.2216
Au 0.0000 0.0000 0.0000
Au 4.8324 4.8324 4.8324
Be 1.6108 1.6108 1.6108

---

Record 6
4
Lattice="4.7197 -0.1762 -0.4124 2.2726 -4.1280 0.5213 1.9739 -2.1104 -3.7585" Properties=species:S:1:pos:R:3 comment="KBeGeAu PBE relaxed" spacegroup="F-43m (216)" mass_density_g_cm3=7.0 energy_ev_per_atom=-2.68 pbc="T T T"
Ge 0.0000 0.0000 0.0000
Au 6.7247 -4.8110 -2.7372
Be 4.4831 -3.2073 -1.8248
K 2.2416 -1.6037 -0.9124

---

Record 7
4
Lattice="0.8034 -4.7691 -0.1987 -3.6858 -3.0458 -0.7529 -0.3793 -2.3445 -4.2176" Properties=species:S:1:pos:R:3 comment="KBeGeAu PBE relaxed" spacegroup="F-43m (216)" mass_density_g_cm3=6.6 energy_ev_per_atom=-2.61 pbc="T T T"
Be 0.0000 0.0000 0.0000
K -1.6309 -5.0797 -2.5846
Au -2.4463 -7.6196 -3.8769
Ge -0.8154 -2.5399 -1.2923

---

Record 8
4
Lattice="0.0000 3.2266 3.2266 3.2266 0.0000 3.2266 3.2266 3.2266 0.0000" Properties=species:S:1:pos:R:3 comment="NaBeGeAu PBE relaxed" spacegroup="F-43m (216)" mass_density_g_cm3=7.5 energy_ev_per_atom=-2.97 pbc="T T T"
Be 1.6133 1.6133 1.6133
Au 4.8399 4.8399 4.8399
Na 3.2266 3.2266 3.2266
Ge 0.0000 0.0000 0.0000